DFT (meta-GGA SCAN) results for a PBEsol-optimized structure of Sb2IrOs.

```
Sb2IrOs
1.0
4.1894 0.0000 0.0000
0.0000 3.2309 0.0000
0.0000 0.0000 10.5200
Sb Ir Os
4 2 2
Cartesian
0.0000 0.0000 0.0000
0.0000 1.6154 5.2600
2.0947 0.0000 3.1513
2.0947 1.6154 8.4114
0.0000 0.0000 7.8185
0.0000 1.6154 2.5585
2.0947 0.0000 5.9036
2.0947 1.6154 0.6435
```

Computed properties:
The calculation puts the formation energy from raw total energies at 0.259 eV per atom. Its total energy is -432.93 eV/cell. The density of states at the Fermi level is 4.56 states/eV/cell.